[1]
Density functional theory data (GGA-PBE) for a relaxed BeAgTe crystal.

```
BeAgTe
1.0
-0.671 -1.234 4.153
2.745 -2.831 1.916
2.711 1.373 3.160
Be Te Ag
1 1 1
Direct
0.750 0.750 0.750 Be
0.000 0.000 0.000 Te
0.500 0.500 0.500 Ag
```

Density of states at the Fermi level: 1.522 states/eV per cell
Size of the total moment: 0.00 μB per formula unit
E_form (uncorrected): 0.26 eV/atom
Polymorph energy (0 for the lowest one): 0.12 eV/f.u.

---

[2]
Density functional theory data (GGA-PBE) for a relaxed Be3AgTe crystal.

```
Be3AgTe
1.0
-1.123 -0.126 4.300
-1.434 -4.179 -0.498
4.056 -1.513 1.015
Be Te Ag
3 1 1
Direct
0.000 0.500 0.000 Be
0.000 0.000 0.500 Be
0.500 0.000 0.000 Be
0.500 0.500 0.500 Te
0.000 0.000 0.000 Ag
```

Density of states at the Fermi level: 2.704 states/eV per cell
Size of the total moment: 0.00 μB per formula unit
E_form (uncorrected): 0.85 eV/atom
Polymorph energy (0 for the lowest one): 0.00 eV/f.u.

---

[3]
Density functional theory data (GGA-PBE) for a relaxed BeAg3Te crystal.

```
BeAg3Te
1.0
-1.871 -4.151 0.786
4.065 -1.535 1.572
-1.151 1.328 4.273
Be Te Ag
1 1 3
Direct
0.000 0.000 0.000 Be
0.500 0.500 0.500 Te
0.000 0.500 0.000 Ag
0.000 0.000 0.500 Ag
0.500 0.000 0.000 Ag
```

Density of states at the Fermi level: 2.942 states/eV per cell
Size of the total moment: 0.00 μB per formula unit
E_form (uncorrected): 0.38 eV/atom
Polymorph energy (0 for the lowest one): 0.00 eV/f.u.

---

[4]
Density functional theory data (GGA-PBE) for a relaxed BeAgTe crystal.

```
BeAgTe
1.0
6.125 -1.191 1.160
2.980 3.262 1.080
-4.172 -0.894 1.576
Be Te Ag
1 1 1
Direct
0.752 0.728 0.024 Be
0.328 0.266 0.062 Te
0.920 0.005 0.915 Ag
```

Density of states at the Fermi level: 1.046 states/eV per cell
Size of the total moment: 0.00 μB per formula unit
E_form (uncorrected): 0.30 eV/atom
Polymorph energy (0 for the lowest one): 0.25 eV/f.u.

---

[5]
Density functional theory data (GGA-PBE) for a relaxed BeAgTe2 crystal.

```
BeAgTe2
1.0
4.229 0.038 0.000
-2.681 3.271 0.000
0.000 0.000 7.890
Be Te Ag
1 2 1
Direct
0.500 0.500 0.750 Be
0.000 0.000 0.962 Te
0.000 0.000 0.538 Te
0.500 0.500 0.250 Ag
```

Density of states at the Fermi level: 2.436 states/eV per cell
Size of the total moment: 0.00 μB per formula unit
E_form (uncorrected): 0.26 eV/atom

---

[6]
Density functional theory data (GGA-PBE) for a relaxed BeAgTe crystal.

```
BeAgTe
1.0
6.673 0.021 0.000
5.197 4.187 0.000
-5.935 -2.104 2.210
Be Te Ag
1 1 1
Direct
0.350 0.350 0.000 Be
0.702 0.702 0.000 Te
0.948 0.948 0.000 Ag
```

Density of states at the Fermi level: 1.298 states/eV per cell
Size of the total moment: 0.00 μB per formula unit
E_form (uncorrected): 0.48 eV/atom
Polymorph energy (0 for the lowest one): 0.77 eV/f.u.

---

[7]
Density functional theory data (GGA-PBE) for a relaxed BeAgTe2 crystal.

```
BeAgTe2
1.0
-4.136 -0.040 0.277
0.237 -0.366 3.498
-0.019 6.980 0.721
Be Te Ag
1 2 1
Direct
0.500 0.751 0.742 Be
0.000 0.752 0.932 Te
0.500 0.250 0.497 Te
0.000 0.747 0.329 Ag
```

Density of states at the Fermi level: 1.029 states/eV per cell
Size of the total moment: 0.00 μB per formula unit
E_form (uncorrected): -0.06 eV/atom

---

[8]
Density functional theory data (GGA-PBE) for a relaxed BeAgTe2 crystal.

```
BeAgTe2
1.0
7.194 0.002 0.000
5.103 5.072 0.000
-6.149 -2.537 2.742
Be Te Ag
1 2 1
Direct
0.750 0.250 0.500 Be
0.000 0.000 0.000 Te
0.250 0.750 0.500 Te
0.500 0.500 0.000 Ag
```

Density of states at the Fermi level: 2.125 states/eV per cell
Size of the total moment: 0.00 μB per formula unit
E_form (uncorrected): 0.41 eV/atom

---

[9]
Density functional theory data (GGA-PBE) for a relaxed BeAgTe2 crystal.

```
BeAgTe2
1.0
-3.148 0.058 -2.206
1.931 -5.025 -2.888
-3.690 0.933 5.291
Be Te Ag
1 2 1
Direct
0.500 0.750 0.750 Be
0.000 0.746 0.000 Te
0.000 0.754 0.500 Te
0.500 0.250 0.250 Ag
```

Density of states at the Fermi level: 1.317 states/eV per cell
Size of the total moment: 0.00 μB per formula unit
E_form (uncorrected): 0.16 eV/atom

---

[10]
Density functional theory data (GGA-PBE) for a relaxed BeAgTe2 crystal.

```
BeAgTe2
1.0
5.420 0.006 0.000
-0.007 5.420 0.000
0.000 0.000 3.062
Be Te Ag
1 2 1
Direct
0.000 0.500 0.500 Be
0.000 0.000 0.000 Te
0.500 0.500 0.000 Te
0.500 0.000 0.500 Ag
```

Density of states at the Fermi level: 1.130 states/eV per cell
Size of the total moment: 0.00 μB per formula unit
E_form (uncorrected): 0.52 eV/atom

---

[11]
Density functional theory data (GGA-PBE) for a relaxed Be4AgTe crystal.

```
Be4AgTe
1.0
0.000 3.416 3.416
3.416 0.000 3.416
3.416 3.416 0.000
Be Ag Te
4 1 1
Direct
0.627 0.627 0.120 Be
0.627 0.120 0.627 Be
0.627 0.627 0.627 Be
0.120 0.627 0.627 Be
0.000 0.000 0.000 Ag
0.250 0.250 0.250 Te
```

Density of states at the Fermi level: 2.892 states/eV per cell
Size of the total moment: 0.00 μB per formula unit
E_form (uncorrected): 0.52 eV/atom

---

[12]
Density functional theory data (GGA-PBE) for a relaxed BeAg4Te crystal.

```
BeAg4Te
1.0
0.000 3.912 3.912
3.912 0.000 3.912
3.912 3.912 0.000
Be Ag Te
1 4 1
Direct
0.750 0.750 0.750 Be
0.873 0.376 0.376 Ag
0.376 0.376 0.873 Ag
0.376 0.873 0.376 Ag
0.376 0.376 0.376 Ag
0.000 0.000 0.000 Te
```

Density of states at the Fermi level: 2.638 states/eV per cell
Size of the total moment: 0.00 μB per formula unit
E_form (uncorrected): 0.44 eV/atom

---

[13]
Density functional theory data (GGA-PBE) for a relaxed BeAgTe crystal.

```
BeAgTe
1.0
-3.365 1.019 -1.584
0.056 -2.304 3.092
-0.184 3.811 2.843
Be Te Ag
1 1 1
Direct
0.333 0.667 0.366 Be
0.667 0.333 0.580 Te
0.000 0.000 0.055 Ag
```

Density of states at the Fermi level: 1.003 states/eV per cell
Size of the total moment: 0.00 μB per formula unit
E_form (uncorrected): 0.22 eV/atom
Polymorph energy (0 for the lowest one): 0.00 eV/f.u.

---

[14]
Density functional theory data (GGA-PBE) for a relaxed BeAgTe2 crystal.

```
BeAgTe2
1.0
3.894 0.000 0.000
0.000 7.559 0.000
0.000 0.000 3.766
Be Te Ag
1 2 1
Direct
0.000 0.500 0.500 Be
0.000 0.000 0.000 Te
0.500 0.500 0.000 Te
0.500 0.000 0.500 Ag
```

Density of states at the Fermi level: 2.827 states/eV per cell
Size of the total moment: 0.00 μB per formula unit
E_form (uncorrected): 0.40 eV/atom

---

[15]
Density functional theory data (GGA-PBE) for a relaxed BeAgTe crystal.

```
BeAgTe
1.0
-5.622 4.113 -0.074
-6.253 1.552 -1.887
-1.469 -0.292 2.828
Be Te Ag
1 1 1
Direct
0.337 0.337 0.663 Be
0.706 0.706 0.294 Te
0.957 0.957 0.043 Ag
```

Density of states at the Fermi level: 0.724 states/eV per cell
Size of the total moment: 0.00 μB per formula unit
E_form (uncorrected): 0.40 eV/atom
Polymorph energy (0 for the lowest one): 0.54 eV/f.u.